# 1
The following is a DFT calculation (PBE-GGA) of crystalline TcRuRh2 at its relaxed geometry.

Results
N(E_F)	4.19	states/eV/f.u.
magnetic moment	0.0	μB per formula unit
ΔH_f (0 K)	-0.08	eV/atom
VASP energy	-34.65	eV per cell

Unit cell a=4.342 b=2.724 c=4.774 alpha=90.00 beta=90.00 gamma=90.00
Positions (direct):
Rh  0.500  0.125  0.291
Ru  0.000  0.625  0.463
Rh  0.000  0.125  0.961
Tc  0.500  0.625  0.785

# 2
The following is a DFT calculation (PBE-GGA) of crystalline Na2MgFeH at its relaxed geometry.

Results
N(E_F)	1.76	states/eV/f.u.
magnetic moment	2.8	μB per formula unit
VASP energy	-10.32	eV per cell

Unit cell a=5.880 b=4.830 c=5.880 alpha=90.00 beta=90.00 gamma=90.00
Positions (direct):
Na  0.000  0.000  0.500
H  0.500  0.500  0.500
Na  0.500  0.000  0.000
Fe  0.000  0.500  0.000
Mg  0.000  0.000  0.000

# 3
The following is a DFT calculation (PBE-GGA) of crystalline Mg2TcB10 at its relaxed geometry.

Results
N(E_F)	3.58	states/eV/f.u.
magnetic moment	0.0	μB per formula unit
ΔH_f (0 K)	0.06	eV/atom
VASP energy	-159.21	eV per cell

Unit cell a=4.242 b=4.778 c=12.550 alpha=90.00 beta=90.00 gamma=90.00
Positions (direct):
B  0.000  0.040  0.179
B  0.000  0.382  0.205
Mg  0.500  0.743  0.623
B  0.698  0.753  0.375
B  0.698  0.253  0.125
B  0.000  0.618  0.795
B  0.302  0.753  0.375
B  0.302  0.747  0.875
B  0.000  0.038  0.566
Tc  0.000  0.000  0.000
B  0.000  0.462  0.066
B  0.000  0.118  0.705
B  0.302  0.253  0.125
Mg  0.500  0.243  0.877
B  0.000  0.962  0.434
Mg  0.500  0.757  0.123
Mg  0.500  0.257  0.377
B  0.302  0.247  0.625
B  0.000  0.960  0.821
B  0.000  0.460  0.679
Tc  0.000  0.500  0.500
B  0.698  0.247  0.625
B  0.698  0.747  0.875
B  0.000  0.882  0.295
B  0.000  0.540  0.321
B  0.000  0.538  0.934

> Which of these has the highest VASP energy?

Na2MgFeH

> Number 2 is which compound?

Na2MgFeH